## Hf2TaRh2 (PBE)

Data for a relaxed Hf2TaRh2 crystal.

Calculated values
E_tot, eV/cell: -96.3
Calculated volume, Å³ per cell: 181
ρ, g/cm3: 13.65
M_tot, μB/f.u.: 0.0
Polymorph energy (0 for the lowest one), eV/atom: 0.154

Cell and atoms, written as CIF:
```
data_Hf2TaRh2
_chemical_formula_sum 'Hf4 Ta2 Rh4'
_space_group_name_H-M_alt 'P 1'
_space_group_IT_number 1
_space_group_name_Hall 'P 1'
_cell_length_a 7.783
_cell_length_b 7.783
_cell_length_c 2.987
_cell_angle_alpha 90.00
_cell_angle_beta 90.00
_cell_angle_gamma 90.00
loop_
_atom_site_label
_atom_site_type_symbol
_atom_site_fract_x
_atom_site_fract_y
_atom_site_fract_z
Hf1 Hf 0.153 0.347 0.000
Hf2 Hf 0.653 0.153 0.000
Hf3 Hf 0.847 0.653 0.000
Hf4 Hf 0.347 0.847 0.000
Rh1 Rh 0.353 0.147 0.500
Rh2 Rh 0.647 0.853 0.500
Rh3 Rh 0.147 0.647 0.500
Rh4 Rh 0.853 0.353 0.500
Ta1 Ta 0.500 0.500 0.000
Ta2 Ta 0.000 0.000 0.000
```

=====

## HfTa3Rh (PBE)

Data for a relaxed HfTa3Rh crystal.

Calculated values
E_tot, eV/cell: -48.1
Calculated volume, Å³ per cell: 111
ρ, g/cm3: 12.31
M_tot, μB/f.u.: 0.0
Polymorph energy (0 for the lowest one), eV/atom: 0.000

Cell and atoms, written as CIF:
```
data_HfTa3Rh
_chemical_formula_sum 'Hf1 Ta3 Rh1'
_space_group_name_H-M_alt 'P 1'
_space_group_IT_number 1
_space_group_name_Hall 'P 1'
_cell_length_a 4.809
_cell_length_b 4.809
_cell_length_c 4.809
_cell_angle_alpha 90.00
_cell_angle_beta 90.00
_cell_angle_gamma 90.00
loop_
_atom_site_label
_atom_site_type_symbol
_atom_site_fract_x
_atom_site_fract_y
_atom_site_fract_z
Ta1 Ta 0.500 0.000 0.000
Ta2 Ta 0.000 0.000 0.500
Ta3 Ta 0.000 0.500 0.000
Rh1 Rh 0.000 0.000 0.000
Hf1 Hf 0.500 0.500 0.500
```

=====

## HfTaRh (PBE)

Data for a relaxed HfTaRh crystal.

Calculated values
E_tot, eV/cell: -120.7
Calculated volume, Å³ per cell: 227
ρ, g/cm3: 13.52
M_tot, μB/f.u.: 0.0
Polymorph energy (0 for the lowest one), eV/atom: 0.138

Cell and atoms, written as CIF:
```
data_HfTaRh
_chemical_formula_sum 'Hf4 Ta4 Rh4'
_space_group_name_H-M_alt 'P 1'
_space_group_IT_number 1
_space_group_name_Hall 'P 1'
_cell_length_a 5.770
_cell_length_b 5.383
_cell_length_c 7.755
_cell_angle_alpha 90.00
_cell_angle_beta 109.42
_cell_angle_gamma 90.00
loop_
_atom_site_label
_atom_site_type_symbol
_atom_site_fract_x
_atom_site_fract_y
_atom_site_fract_z
Ta1 Ta 0.628 0.401 0.210
Ta2 Ta 0.872 0.901 0.290
Ta3 Ta 0.372 0.599 0.790
Ta4 Ta 0.128 0.099 0.710
Hf1 Hf 0.315 0.894 0.117
Hf2 Hf 0.815 0.606 0.617
Hf3 Hf 0.685 0.106 0.883
Hf4 Hf 0.185 0.394 0.383
Rh1 Rh 0.321 0.863 0.505
Rh2 Rh 0.679 0.137 0.495
Rh3 Rh 0.179 0.363 0.995
Rh4 Rh 0.821 0.637 0.005
```

=====

## Hf2TaRh (PBE)

Data for a relaxed Hf2TaRh crystal.

Calculated values
E_tot, eV/cell: -40.1
Calculated volume, Å³ per cell: 74
ρ, g/cm3: 14.41
M_tot, μB/f.u.: 0.0
Polymorph energy (0 for the lowest one), eV/atom: 0.187

Cell and atoms, written as CIF:
```
data_Hf2TaRh
_chemical_formula_sum 'Hf2 Ta1 Rh1'
_space_group_name_H-M_alt 'P 1'
_space_group_IT_number 1
_space_group_name_Hall 'P 1'
_cell_length_a 4.709
_cell_length_b 4.709
_cell_length_c 4.709
_cell_angle_alpha 60.00
_cell_angle_beta 60.00
_cell_angle_gamma 60.00
loop_
_atom_site_label
_atom_site_type_symbol
_atom_site_fract_x
_atom_site_fract_y
_atom_site_fract_z
Hf1 Hf 0.750 0.750 0.750
Hf2 Hf 0.250 0.250 0.250
Rh1 Rh 0.000 0.000 0.000
Ta1 Ta 0.500 0.500 0.500
```

=====

## HfTaTcRh (PBE)

Data for a relaxed HfTaTcRh crystal.

Calculated values
E_tot, eV/cell: -41.8
Calculated volume, Å³ per cell: 67
ρ, g/cm3: 13.88
M_tot, μB/f.u.: 0.0

Cell and atoms, written as CIF:
```
data_HfTaTcRh
_chemical_formula_sum 'Hf1 Ta1 Tc1 Rh1'
_space_group_name_H-M_alt 'P 1'
_space_group_IT_number 1
_space_group_name_Hall 'P 1'
_cell_length_a 4.560
_cell_length_b 4.560
_cell_length_c 4.560
_cell_angle_alpha 60.00
_cell_angle_beta 60.00
_cell_angle_gamma 60.00
loop_
_atom_site_label
_atom_site_type_symbol
_atom_site_fract_x
_atom_site_fract_y
_atom_site_fract_z
Rh1 Rh 0.750 0.750 0.750
Ta1 Ta 0.000 0.000 0.000
Hf1 Hf 0.500 0.500 0.500
Tc1 Tc 0.250 0.250 0.250
```

=====

## HfTa2TcRh (PBE)

Data for a relaxed HfTa2TcRh crystal.

Calculated values
E_tot, eV/cell: -46.6
Calculated volume, Å³ per cell: 107
ρ, g/cm3: 11.55
M_tot, μB/f.u.: 0.0

Cell and atoms, written as CIF:
```
data_HfTa2TcRh
_chemical_formula_sum 'Hf1 Ta2 Tc1 Rh1'
_space_group_name_H-M_alt 'P 1'
_space_group_IT_number 1
_space_group_name_Hall 'P 1'
_cell_length_a 4.748
_cell_length_b 4.727
_cell_length_c 4.748
_cell_angle_alpha 90.00
_cell_angle_beta 90.00
_cell_angle_gamma 90.00
loop_
_atom_site_label
_atom_site_type_symbol
_atom_site_fract_x
_atom_site_fract_y
_atom_site_fract_z
Rh1 Rh 0.000 0.500 0.000
Hf1 Hf 0.500 0.500 0.500
Ta1 Ta 0.500 0.000 0.000
Ta2 Ta 0.000 0.000 0.500
Tc1 Tc 0.000 0.000 0.000
```

=====

## HfTaRhW (PBE)

Data for a relaxed HfTaRhW crystal.

Calculated values
E_tot, eV/cell: -43.6
Calculated volume, Å³ per cell: 69
ρ, g/cm3: 15.64
M_tot, μB/f.u.: 0.0

Cell and atoms, written as CIF:
```
data_HfTaRhW
_chemical_formula_sum 'Hf1 Ta1 Rh1 W1'
_space_group_name_H-M_alt 'P 1'
_space_group_IT_number 1
_space_group_name_Hall 'P 1'
_cell_length_a 4.595
_cell_length_b 4.595
_cell_length_c 4.595
_cell_angle_alpha 60.00
_cell_angle_beta 60.00
_cell_angle_gamma 60.00
loop_
_atom_site_label
_atom_site_type_symbol
_atom_site_fract_x
_atom_site_fract_y
_atom_site_fract_z
Rh1 Rh 0.500 0.500 0.500
Ta1 Ta 0.250 0.250 0.250
W1 W 0.000 0.000 0.000
Hf1 Hf 0.750 0.750 0.750
```

=====

## YHfTa2Rh (PBE)

Data for a relaxed YHfTa2Rh crystal.

Calculated values
E_tot, eV/cell: -38.8
Calculated volume, Å³ per cell: 127
ρ, g/cm3: 9.54
M_tot, μB/f.u.: 0.0

Cell and atoms, written as CIF:
```
data_YHfTa2Rh
_chemical_formula_sum 'Y1 Hf1 Ta2 Rh1'
_space_group_name_H-M_alt 'P 1'
_space_group_IT_number 1
_space_group_name_Hall 'P 1'
_cell_length_a 4.861
_cell_length_b 5.393
_cell_length_c 4.861
_cell_angle_alpha 90.00
_cell_angle_beta 90.00
_cell_angle_gamma 90.00
loop_
_atom_site_label
_atom_site_type_symbol
_atom_site_fract_x
_atom_site_fract_y
_atom_site_fract_z
Hf1 Hf 0.000 0.000 0.000
Ta1 Ta 0.000 0.000 0.500
Ta2 Ta 0.500 0.000 0.000
Rh1 Rh 0.500 0.500 0.500
Y1 Y 0.000 0.500 0.000
```

=====

## TbHfRh (PBE)

Data for a relaxed TbHfRh crystal.

Calculated values
E_tot, eV/cell: -47.6
Calculated volume, Å³ per cell: 139
ρ, g/cm3: 10.53
M_tot, μB/f.u.: 0.0
Polymorph energy (0 for the lowest one), eV/atom: 0.000

Cell and atoms, written as CIF:
```
data_TbHfRh
_chemical_formula_sum 'Tb2 Hf2 Rh2'
_space_group_name_H-M_alt 'P 1'
_space_group_IT_number 1
_space_group_name_Hall 'P 1'
_cell_length_a 4.569
_cell_length_b 4.569
_cell_length_c 6.655
_cell_angle_alpha 90.00
_cell_angle_beta 90.00
_cell_angle_gamma 90.00
loop_
_atom_site_label
_atom_site_type_symbol
_atom_site_fract_x
_atom_site_fract_y
_atom_site_fract_z
Hf1 Hf 0.500 0.500 0.500
Hf2 Hf 0.000 0.000 0.500
Tb1 Tb 0.500 0.000 0.130
Tb2 Tb 0.000 0.500 0.870
Rh1 Rh 0.500 0.000 0.708
Rh2 Rh 0.000 0.500 0.292
```

=====

## TbHfRh (PBE)

Data for a relaxed TbHfRh crystal.

Calculated values
E_tot, eV/cell: -23.4
Calculated volume, Å³ per cell: 66
ρ, g/cm3: 11.15
M_tot, μB/f.u.: 0.7
Polymorph energy (0 for the lowest one), eV/atom: 0.136

Cell and atoms, written as CIF:
```
data_TbHfRh
_chemical_formula_sum 'Tb1 Hf1 Rh1'
_space_group_name_H-M_alt 'P 1'
_space_group_IT_number 1
_space_group_name_Hall 'P 1'
_cell_length_a 3.384
_cell_length_b 3.384
_cell_length_c 6.205
_cell_angle_alpha 105.83
_cell_angle_beta 105.83
_cell_angle_gamma 90.00
loop_
_atom_site_label
_atom_site_type_symbol
_atom_site_fract_x
_atom_site_fract_y
_atom_site_fract_z
Rh1 Rh 0.686 0.686 0.372
Hf1 Hf 0.301 0.301 0.602
Tb1 Tb 0.013 0.013 0.026
```

=====

## TbHfRh2 (PBE)

Data for a relaxed TbHfRh2 crystal.

Calculated values
E_tot, eV/cell: -32.8
Calculated volume, Å³ per cell: 76
ρ, g/cm3: 11.91
M_tot, μB/f.u.: 0.0

Cell and atoms, written as CIF:
```
data_TbHfRh2
_chemical_formula_sum 'Tb1 Hf1 Rh2'
_space_group_name_H-M_alt 'P 1'
_space_group_IT_number 1
_space_group_name_Hall 'P 1'
_cell_length_a 3.319
_cell_length_b 3.319
_cell_length_c 6.878
_cell_angle_alpha 90.00
_cell_angle_beta 90.00
_cell_angle_gamma 90.00
loop_
_atom_site_label
_atom_site_type_symbol
_atom_site_fract_x
_atom_site_fract_y
_atom_site_fract_z
Hf1 Hf 0.500 0.500 0.000
Rh1 Rh 0.000 0.000 0.778
Rh2 Rh 0.000 0.000 0.222
Tb1 Tb 0.500 0.500 0.500
```

=====

## Tb2HfRh (PBE)

Data for a relaxed Tb2HfRh crystal.

Calculated values
E_tot, eV/cell: -26.2
Calculated volume, Å³ per cell: 100
ρ, g/cm3: 9.91
M_tot, μB/f.u.: 0.0

Cell and atoms, written as CIF:
```
data_Tb2HfRh
_chemical_formula_sum 'Tb2 Hf1 Rh1'
_space_group_name_H-M_alt 'P 1'
_space_group_IT_number 1
_space_group_name_Hall 'P 1'
_cell_length_a 3.345
_cell_length_b 3.345
_cell_length_c 10.544
_cell_angle_alpha 80.87
_cell_angle_beta 80.87
_cell_angle_gamma 60.00
loop_
_atom_site_label
_atom_site_type_symbol
_atom_site_fract_x
_atom_site_fract_y
_atom_site_fract_z
Rh1 Rh 0.500 0.500 0.500
Hf1 Hf 0.000 0.000 0.000
Tb1 Tb 0.898 0.898 0.306
Tb2 Tb 0.102 0.102 0.694
```

=====

## TbHf3Rh4 (PBE)

Data for a relaxed TbHf3Rh4 crystal.

Calculated values
E_tot, eV/cell: -70.9
Calculated volume, Å³ per cell: 150
ρ, g/cm3: 12.22
M_tot, μB/f.u.: 0.0

Cell and atoms, written as CIF:
```
data_TbHf3Rh4
_chemical_formula_sum 'Tb1 Hf3 Rh4'
_space_group_name_H-M_alt 'P 1'
_space_group_IT_number 1
_space_group_name_Hall 'P 1'
_cell_length_a 4.552
_cell_length_b 4.552
_cell_length_c 8.779
_cell_angle_alpha 74.97
_cell_angle_beta 74.97
_cell_angle_gamma 60.00
loop_
_atom_site_label
_atom_site_type_symbol
_atom_site_fract_x
_atom_site_fract_y
_atom_site_fract_z
Rh1 Rh 0.132 0.132 0.603
Rh2 Rh 0.868 0.868 0.397
Rh3 Rh 0.605 0.605 0.186
Rh4 Rh 0.395 0.395 0.814
Hf1 Hf 0.753 0.753 0.740
Hf2 Hf 0.500 0.500 0.500
Hf3 Hf 0.247 0.247 0.260
Tb1 Tb 0.000 0.000 0.000
```

=====

## Tb2HfRh3 (PBE)

Data for a relaxed Tb2HfRh3 crystal.

Calculated values
E_tot, eV/cell: -46.3
Calculated volume, Å³ per cell: 116
ρ, g/cm3: 11.51
M_tot, μB/f.u.: 0.0

Cell and atoms, written as CIF:
```
data_Tb2HfRh3
_chemical_formula_sum 'Tb2 Hf1 Rh3'
_space_group_name_H-M_alt 'P 1'
_space_group_IT_number 1
_space_group_name_Hall 'P 1'
_cell_length_a 4.752
_cell_length_b 4.752
_cell_length_c 5.939
_cell_angle_alpha 90.00
_cell_angle_beta 90.00
_cell_angle_gamma 120.00
loop_
_atom_site_label
_atom_site_type_symbol
_atom_site_fract_x
_atom_site_fract_y
_atom_site_fract_z
Rh1 Rh 0.000 0.000 0.500
Rh2 Rh 0.667 0.333 0.860
Rh3 Rh 0.333 0.667 0.140
Hf1 Hf 0.000 0.000 0.000
Tb1 Tb 0.333 0.667 0.666
Tb2 Tb 0.667 0.333 0.334
```

=====

## TbHf2Rh3 (PBE)

Data for a relaxed TbHf2Rh3 crystal.

Calculated values
E_tot, eV/cell: -51.9
Calculated volume, Å³ per cell: 111
ρ, g/cm3: 12.30
M_tot, μB/f.u.: 0.0

Cell and atoms, written as CIF:
```
data_TbHf2Rh3
_chemical_formula_sum 'Tb1 Hf2 Rh3'
_space_group_name_H-M_alt 'P 1'
_space_group_IT_number 1
_space_group_name_Hall 'P 1'
_cell_length_a 3.277
_cell_length_b 3.277
_cell_length_c 10.362
_cell_angle_alpha 90.00
_cell_angle_beta 90.00
_cell_angle_gamma 90.00
loop_
_atom_site_label
_atom_site_type_symbol
_atom_site_fract_x
_atom_site_fract_y
_atom_site_fract_z
Rh1 Rh 0.000 0.000 0.697
Rh2 Rh 0.000 0.000 0.000
Rh3 Rh 0.000 0.000 0.303
Hf1 Hf 0.500 0.500 0.161
Hf2 Hf 0.500 0.500 0.839
Tb1 Tb 0.500 0.500 0.500
```

=====

## TbHfRh4 (PBE)

Data for a relaxed TbHfRh4 crystal.

Calculated values
E_tot, eV/cell: -47.8
Calculated volume, Å³ per cell: 103
ρ, g/cm3: 12.03
M_tot, μB/f.u.: 0.0

Cell and atoms, written as CIF:
```
data_TbHfRh4
_chemical_formula_sum 'Tb1 Hf1 Rh4'
_space_group_name_H-M_alt 'P 1'
_space_group_IT_number 1
_space_group_name_Hall 'P 1'
_cell_length_a 5.269
_cell_length_b 5.269
_cell_length_c 5.269
_cell_angle_alpha 60.00
_cell_angle_beta 60.00
_cell_angle_gamma 60.00
loop_
_atom_site_label
_atom_site_type_symbol
_atom_site_fract_x
_atom_site_fract_y
_atom_site_fract_z
Rh1 Rh 0.625 0.124 0.625
Rh2 Rh 0.124 0.625 0.625
Rh3 Rh 0.625 0.625 0.625
Rh4 Rh 0.625 0.625 0.124
Tb1 Tb 0.250 0.250 0.250
Hf1 Hf 0.000 0.000 0.000
```

=====

## Tb5HfRh6 (PBE)

Data for a relaxed Tb5HfRh6 crystal.

Calculated values
E_tot, eV/cell: -87.4
Calculated volume, Å³ per cell: 239
ρ, g/cm3: 11.07
M_tot, μB/f.u.: 0.0

Cell and atoms, written as CIF:
```
data_Tb5HfRh6
_chemical_formula_sum 'Tb5 Hf1 Rh6'
_space_group_name_H-M_alt 'P 1'
_space_group_IT_number 1
_space_group_name_Hall 'P 1'
_cell_length_a 4.771
_cell_length_b 6.985
_cell_length_c 8.312
_cell_angle_alpha 65.15
_cell_angle_beta 73.38
_cell_angle_gamma 90.00
loop_
_atom_site_label
_atom_site_type_symbol
_atom_site_fract_x
_atom_site_fract_y
_atom_site_fract_z
Rh1 Rh 0.159 0.398 0.683
Rh2 Rh 0.159 0.920 0.683
Rh3 Rh 0.841 0.080 0.317
Rh4 Rh 0.841 0.602 0.317
Rh5 Rh 0.500 0.230 0.000
Rh6 Rh 0.500 0.770 0.000
Tb1 Tb 0.000 0.500 0.000
Tb2 Tb 0.665 0.666 0.669
Tb3 Tb 0.668 0.168 0.664
Tb4 Tb 0.332 0.832 0.336
Tb5 Tb 0.335 0.334 0.331
Hf1 Hf 0.000 0.000 0.000
```

=====

## TbHf2Rh (PBE)

Data for a relaxed TbHf2Rh crystal.

Calculated values
E_tot, eV/cell: -32.5
Calculated volume, Å³ per cell: 90
ρ, g/cm3: 11.42
M_tot, μB/f.u.: 0.0
Polymorph energy (0 for the lowest one), eV/atom: 0.155

Cell and atoms, written as CIF:
```
data_TbHf2Rh
_chemical_formula_sum 'Tb1 Hf2 Rh1'
_space_group_name_H-M_alt 'P 1'
_space_group_IT_number 1
_space_group_name_Hall 'P 1'
_cell_length_a 3.314
_cell_length_b 3.314
_cell_length_c 9.651
_cell_angle_alpha 80.11
_cell_angle_beta 80.11
_cell_angle_gamma 60.00
loop_
_atom_site_label
_atom_site_type_symbol
_atom_site_fract_x
_atom_site_fract_y
_atom_site_fract_z
Tb1 Tb 0.500 0.500 0.500
Hf1 Hf 0.734 0.734 0.797
Hf2 Hf 0.266 0.266 0.203
Rh1 Rh 0.000 0.000 0.000
```

=====

## TbHf2Rh (PBE)

Data for a relaxed TbHf2Rh crystal.

Calculated values
E_tot, eV/cell: -33.1
Calculated volume, Å³ per cell: 87
ρ, g/cm3: 11.87
M_tot, μB/f.u.: 0.0
Polymorph energy (0 for the lowest one), eV/atom: 0.000

Cell and atoms, written as CIF:
```
data_TbHf2Rh
_chemical_formula_sum 'Tb1 Hf2 Rh1'
_space_group_name_H-M_alt 'P 1'
_space_group_IT_number 1
_space_group_name_Hall 'P 1'
_cell_length_a 3.335
_cell_length_b 3.335
_cell_length_c 7.781
_cell_angle_alpha 90.00
_cell_angle_beta 90.00
_cell_angle_gamma 90.00
loop_
_atom_site_label
_atom_site_type_symbol
_atom_site_fract_x
_atom_site_fract_y
_atom_site_fract_z
Tb1 Tb 0.500 0.500 0.500
Hf1 Hf 0.000 0.000 0.200
Hf2 Hf 0.000 0.000 0.800
Rh1 Rh 0.500 0.500 0.000
```

=====

## Hf4TcRh (PBE)

Data for a relaxed Hf4TcRh crystal.

Calculated values
E_tot, eV/cell: -58.9
Calculated volume, Å³ per cell: 131
ρ, g/cm3: 11.61
M_tot, μB/f.u.: 0.0
Polymorph energy (0 for the lowest one), eV/atom: 0.235

Cell and atoms, written as CIF:
```
data_Hf4TcRh
_chemical_formula_sum 'Hf4 Tc1 Rh1'
_space_group_name_H-M_alt 'P 1'
_space_group_IT_number 1
_space_group_name_Hall 'P 1'
_cell_length_a 4.522
_cell_length_b 4.517
_cell_length_c 7.844
_cell_angle_alpha 73.26
_cell_angle_beta 73.25
_cell_angle_gamma 59.97
loop_
_atom_site_label
_atom_site_type_symbol
_atom_site_fract_x
_atom_site_fract_y
_atom_site_fract_z
Rh1 Rh 0.500 0.500 0.500
Hf1 Hf 0.124 0.124 0.628
Hf2 Hf 0.374 0.374 0.879
Hf3 Hf 0.626 0.626 0.121
Hf4 Hf 0.876 0.876 0.372
Tc1 Tc 0.000 0.000 0.000
```

=====

What are the ΔE_f values for these records? In order: -1.666; 4.757; -1.020; -1.037; -2.265; 4.800; -1.445; 8.662; -1.844; -1.437; -3.523; 0.407; -6.999; -4.995; -5.319; -3.812; -10.186; -0.581; -1.200; -1.382 eV per formula unit.